Version one
VASP calculation (PBE) on a relaxed structure of LaYBi3.

Cell lengths 5.8114, 5.8114, 5.8114 Å; angles 90.00, 90.00, 90.00 degrees
Last column: nearest neighbours and their distance in Å.
Space group Pm-3m (No. 221)
Symmetry-distinct sites (fractional):
La  0.0000  0.0000  0.0000  12 Bi 4.11
Y  0.5000  0.5000  0.5000  6 Bi 2.91
Bi  0.0000  0.5000  0.5000  2 Y 2.91



Version two
VASP calculation (PBE) on a relaxed structure of LaYBi3.

Cell lengths 6.0114, 6.0114, 6.0114 Å; angles 90.00, 90.00, 90.00 degrees
Last column: nearest neighbours and their distance in Å.
Space group Pm-3m (No. 221)
Symmetry-distinct sites (fractional):
La  0.0000  0.0000  0.0000  6 Bi 3.01
Y  0.5000  0.5000  0.5000  12 Bi 4.25
Bi  0.0000  0.0000  0.5000  2 La 3.01



Going by the energies, version one is most stable and the next is 43.8 kJ/mol of atoms up.